! PBE-GGA YMn2Tc, optimized geometry; values from VASP
&SYSTEM
  ibrav = 0, nat = 4, ntyp = 3
/
ATOMIC_SPECIES
Mn 54.94 Mn.upf
Y 88.91 Y.upf
Tc 98.00 Tc.upf
CELL_PARAMETERS angstrom
3.053 0.000 0.000
0.000 3.053 0.000
0.000 0.000 7.237
ATOMIC_POSITIONS crystal
Mn 0.000 0.000 0.058
Mn 0.500 0.500 0.263
Y 0.500 0.500 0.740
Tc 0.000 0.000 0.438
! * VASP energy: -8.56 eV per atom
! * ΔH_f (0 K): 0.236 eV per atom
! * magnetization: 4.60 Bohr magnetons per cell